DFT (PBE) results for AgAs2RhBr after structural relaxation.

Cell and atoms, written as POSCAR:
```
AgAs2RhBr
1.0
4.716 0.000 0.000
0.000 4.716 0.000
0.000 0.000 5.558
Ag As Rh Br
1 2 1 1
Cartesian
0.000 0.000 0.000
0.000 2.358 2.779
2.358 0.000 2.779
2.358 2.358 2.779
2.358 2.358 0.000
```

Values from the calculation:
Calculated total energy, eV per cell: -19.2
Distance to the lowest polymorph of the same formula, meV/atom: 0.0
Energy relative to the elements, uncorrected, kJ/mol of atoms: 37.5

DFT (PBE) results for Pm2Sm5Ge5 after structural relaxation.

Cell and atoms, written as POSCAR:
```
Pm2Sm5Ge5
1.0
6.974 -2.098 0.000
6.974 2.098 0.000
-3.386 0.000 11.933
Pm Sm Ge
2 5 5
Cartesian
-0.337 0.000 3.378
10.899 0.000 8.555
3.169 0.000 1.728
3.273 0.000 5.368
6.974 0.000 0.000
7.289 0.000 6.565
7.393 0.000 10.205
-1.693 0.000 5.966
-1.503 0.000 11.050
1.826 0.000 8.288
8.736 0.000 3.645
12.065 0.000 0.883
```

Values from the calculation:
Formation energy from the elements, meV per atom: -681
Calculated total energy, eV per cell: -64.4

DFT (PBE) results for Be2Zn2Ge after structural relaxation.

Cell and atoms, written as POSCAR:
```
Be2Zn2Ge
1.0
7.207 0.000 0.000
0.000 7.207 0.000
0.000 0.000 2.583
Be Zn Ge
4 4 2
Cartesian
0.836 2.767 0.000
2.767 6.371 0.000
4.440 0.836 0.000
6.371 4.440 0.000
1.277 4.881 1.292
2.327 1.277 1.292
4.881 5.930 1.292
5.930 2.327 1.292
0.000 0.000 0.000
3.604 3.604 0.000
```

Values from the calculation:
Formation energy from the elements, meV per atom: 297
Calculated total energy, eV per cell: -26.3
Distance to the lowest polymorph of the same formula, meV/atom: 0.0

DFT (PBE) results for Mg8ZnAu2 after structural relaxation.

Cell and atoms, written as POSCAR:
```
Mg8ZnAu2
1.0
-2.331 3.385 6.928
2.331 -3.385 6.928
2.331 3.385 -6.928
Mg Zn Au
8 1 2
Cartesian
2.331 1.841 -2.103
0.000 0.000 2.327
0.000 1.902 0.000
2.331 1.841 2.103
0.000 1.544 4.825
0.000 4.868 0.000
0.000 0.000 11.528
0.000 1.544 9.030
2.331 0.000 0.000
2.331 0.000 4.397
0.000 3.385 2.531
```

Values from the calculation:
Formation energy from the elements, meV per atom: -285
Calculated total energy, eV per cell: -23.7

DFT (PBE) results for ScFe8Sn3 after structural relaxation.

Cell and atoms, written as POSCAR:
```
ScFe8Sn3
1.0
2.482 1.433 8.130
-2.482 1.433 8.130
0.000 -2.866 8.130
Sc Fe Sn
1 8 3
Cartesian
0.000 0.000 0.000
0.000 0.000 4.534
0.000 -1.424 14.690
-1.234 0.712 14.690
-1.235 -0.713 18.770
0.000 0.000 16.734
1.234 0.712 14.690
1.235 -0.713 18.770
0.000 1.426 18.770
0.000 0.000 9.002
0.000 0.000 12.125
0.000 0.000 21.426
```

Values from the calculation:
Formation energy from the elements, meV per atom: -27
Calculated total energy, eV per cell: -86.4

DFT (PBE) results for Tm2ScIn3Se6 after structural relaxation.

Cell and atoms, written as POSCAR:
```
Tm2ScIn3Se6
1.0
3.505 -6.066 0.000
3.505 6.066 0.000
-2.334 0.000 7.724
Tm Sc In Se
2 1 3 6
Cartesian
3.505 4.047 0.000
3.505 -4.047 0.000
3.505 0.000 0.000
-1.167 0.000 3.862
2.338 2.058 3.862
2.338 -2.058 3.862
0.035 1.965 6.162
1.232 0.000 1.587
0.035 -1.965 6.162
4.641 1.965 1.562
3.444 0.000 6.137
4.641 -1.965 1.562
```

Values from the calculation:
Calculated total energy, eV per cell: -59.4
Energy relative to the elements, uncorrected, kJ/mol of atoms: -120.7

DFT (PBE) results for LiPaIn6 after structural relaxation.

Cell and atoms, written as POSCAR:
```
LiPaIn6
1.0
4.639 -4.649 0.000
4.639 4.649 0.000
0.000 0.000 4.553
Li Pa In
1 1 6
Cartesian
0.000 0.000 0.000
4.639 0.000 0.000
2.320 2.325 0.000
2.260 0.000 2.276
4.639 2.378 2.276
2.320 -2.325 0.000
4.639 -2.378 2.276
7.018 0.000 2.276
```

Values from the calculation:
Formation energy from the elements, meV per atom: -86
Calculated total energy, eV per cell: -28.5

DFT (PBE) results for Ta4CrW after structural relaxation.

Cell and atoms, written as POSCAR:
```
Ta4CrW
1.0
3.207 0.000 0.000
0.000 3.207 0.000
0.000 0.000 9.802
Ta Cr W
4 1 1
Cartesian
0.000 0.000 1.499
0.000 0.000 8.302
1.603 1.603 3.289
1.603 1.603 6.513
1.603 1.603 0.000
0.000 0.000 4.901
```

Values from the calculation:
Formation energy from the elements, meV per atom: -32
Calculated total energy, eV per cell: -70.2
Distance to the lowest polymorph of the same formula, meV/atom: 0.0

DFT (PBE) results for NaZn2Sn2 after structural relaxation.

Cell and atoms, written as POSCAR:
```
NaZn2Sn2
1.0
8.358 0.000 0.000
0.000 8.358 0.000
0.000 0.000 3.343
Na Zn Sn
2 4 4
Cartesian
0.000 0.000 0.000
4.179 4.179 0.000
1.259 2.920 1.672
2.920 7.099 1.672
5.438 1.259 1.672
7.099 5.438 1.672
1.200 5.379 0.000
2.979 1.200 0.000
5.379 7.158 0.000
7.158 2.979 0.000
```

Values from the calculation:
Formation energy from the elements, meV per atom: 30
Calculated total energy, eV per cell: -23.4
Distance to the lowest polymorph of the same formula, meV/atom: 102.8

DFT (PBE) results for Cu2Ni8Ge after structural relaxation.

Cell and atoms, written as POSCAR:
```
Cu2Ni8Ge
1.0
-2.019 2.672 5.988
2.019 -2.672 5.988
2.019 2.672 -5.988
Cu Ni Ge
2 8 1
Cartesian
0.000 0.000 2.185
0.000 0.000 9.791
2.019 1.249 -1.803
0.000 1.245 0.000
2.019 0.000 3.943
2.019 1.249 1.803
0.000 1.423 4.184
0.000 2.672 2.045
0.000 4.099 0.000
0.000 1.423 7.791
0.000 0.000 5.988
```

Values from the calculation:
Formation energy from the elements, meV per atom: 46
Calculated total energy, eV per cell: -58.6
Distance to the lowest polymorph of the same formula, meV/atom: 0.0

DFT (PBE) results for ZnRePt2 after structural relaxation.

Cell and atoms, written as POSCAR:
```
ZnRePt2
1.0
3.908 0.000 0.000
0.000 3.908 0.000
0.000 0.000 3.974
Zn Re Pt
1 1 2
Cartesian
0.000 0.000 0.000
1.954 1.954 0.000
0.000 1.954 1.987
1.954 0.000 1.987
```

Values from the calculation:
Formation energy from the elements, meV per atom: 110
Calculated total energy, eV per cell: -25.4

DFT (PBE) results for Tb3SbPd after structural relaxation.

Cell and atoms, written as POSCAR:
```
Tb3SbPd
1.0
7.500 -5.348 0.000
7.500 5.348 0.000
-1.455 0.000 7.164
Tb Sb Pd
12 4 4
Cartesian
1.988 0.933 0.337
5.300 2.690 3.810
1.260 -0.933 3.919
5.880 0.697 0.682
7.518 2.690 6.936
5.152 -0.697 4.265
8.393 0.697 2.900
6.028 -2.690 0.228
7.666 -0.697 6.482
12.285 0.933 3.246
8.245 -2.690 3.354
11.558 -0.933 6.828
2.847 1.508 5.373
3.575 -1.508 1.791
9.971 1.508 5.373
10.698 -1.508 1.791
6.409 4.850 5.373
7.137 3.042 1.791
6.409 -3.042 5.373
7.137 -4.850 1.791
```

Values from the calculation:
Calculated total energy, eV per cell: -105.8
Energy relative to the elements, uncorrected, kJ/mol of atoms: -62.8

DFT (PBE) results for CdTcF2 after structural relaxation.

Cell and atoms, written as POSCAR:
```
CdTcF2
1.0
1.415 0.817 8.587
-1.415 0.817 8.587
0.000 -1.634 8.587
Cd Tc F
1 1 2
Cartesian
0.000 0.000 0.000
0.000 0.000 12.881
0.000 0.000 2.639
0.000 0.000 23.123
```

Values from the calculation:
Calculated total energy, eV per cell: -18.0
Distance to the lowest polymorph of the same formula, meV/atom: 313.0
Energy relative to the elements, uncorrected, kJ/mol of atoms: -72.8

DFT (PBE) results for LaPaNi10 after structural relaxation.

Cell and atoms, written as POSCAR:
```
LaPaNi10
1.0
3.999 0.000 0.000
0.000 4.916 0.000
0.000 0.000 8.493
La Pa Ni
1 1 10
Cartesian
0.000 0.000 0.000
0.000 2.458 4.247
0.000 0.000 2.899
0.000 0.000 5.594
0.000 2.458 1.533
0.000 2.458 6.960
2.000 0.000 4.247
2.000 1.257 2.199
2.000 1.257 6.294
2.000 2.458 0.000
2.000 3.659 2.199
2.000 3.659 6.294
```

Values from the calculation:
Formation energy from the elements, meV per atom: -343
Calculated total energy, eV per cell: -76.3

DFT (PBE) results for NpPbAuO6 after structural relaxation.

Cell and atoms, written as POSCAR:
```
NpPbAuO6
1.0
5.892 0.000 0.000
-2.946 5.103 0.000
0.000 0.000 8.815
Np Pb Au O
2 2 2 12
Cartesian
0.000 3.402 2.204
2.946 1.701 6.612
0.000 3.402 6.612
2.946 1.701 2.204
0.000 0.000 0.000
0.000 0.000 4.408
-0.743 1.883 1.078
-1.687 3.518 3.330
0.743 1.883 3.330
-0.944 4.804 1.078
2.002 0.298 5.486
1.259 1.585 7.737
1.687 3.518 1.078
0.944 4.804 3.330
3.890 0.298 7.737
2.203 3.220 5.486
4.633 1.585 5.486
3.689 3.220 7.737
```

Values from the calculation:
Calculated total energy, eV per cell: -122.6
Energy relative to the elements, uncorrected, kJ/mol of atoms: -124.8

DFT (PBE) results for Cs2TlCdAu after structural relaxation.

Cell and atoms, written as POSCAR:
```
Cs2TlCdAu
1.0
6.829 0.000 0.000
0.000 6.829 0.000
0.000 0.000 5.416
Cs Tl Cd Au
2 1 1 1
Cartesian
0.000 3.415 0.000
3.415 0.000 0.000
0.000 0.000 2.708
3.415 3.415 2.708
3.415 3.415 0.000
```

Values from the calculation:
Formation energy from the elements, meV per atom: -16
Calculated total energy, eV per cell: -8.3
Distance to the lowest polymorph of the same formula, meV/atom: 151.9

DFT (PBE) results for Sm8Ho3Th3 after structural relaxation.

Cell and atoms, written as POSCAR:
```
Sm8Ho3Th3
1.0
-2.871 5.316 7.584
2.871 -5.316 7.584
2.871 5.316 -7.584
Sm Ho Th
8 3 3
Cartesian
2.871 1.751 -1.556
2.871 3.639 -4.198
2.871 1.751 1.556
0.000 1.676 3.386
2.871 3.639 4.198
0.000 3.565 6.028
0.000 1.676 11.783
0.000 3.565 9.141
0.000 0.000 0.000
0.000 3.322 0.000
0.000 7.309 0.000
2.871 0.000 4.793
0.000 0.000 7.584
0.000 5.316 2.792
```

Values from the calculation:
Formation energy from the elements, meV per atom: 162
Calculated total energy, eV per cell: -71.5

DFT (PBE) results for LiTbMg2 after structural relaxation.

Cell and atoms, written as POSCAR:
```
LiTbMg2
1.0
5.461 0.000 0.000
0.000 5.461 0.000
0.000 0.000 3.441
Li Tb Mg
1 1 2
Cartesian
0.000 0.000 0.000
2.731 2.731 0.000
0.000 2.731 1.721
2.731 0.000 1.721
```

Values from the calculation:
Formation energy from the elements, meV per atom: 20
Calculated total energy, eV per cell: -9.7
Distance to the lowest polymorph of the same formula, meV/atom: 64.6

DFT (PBE) results for K4LiAu4 after structural relaxation.

Cell and atoms, written as POSCAR:
```
K4LiAu4
1.0
-3.409 3.409 6.797
3.409 -3.409 6.797
3.409 3.409 -6.797
K Li Au
4 1 4
Cartesian
1.948 1.948 -1.852
1.461 -1.461 8.649
1.461 1.461 4.944
-1.461 1.461 8.649
0.000 0.000 0.000
1.940 -1.940 5.250
1.469 1.469 1.547
-1.940 1.940 5.250
1.940 1.940 8.344
```

Values from the calculation:
Formation energy from the elements, meV per atom: -256
Calculated total energy, eV per cell: -21.7

DFT (PBE) results for NaRuC after structural relaxation.

Cell and atoms, written as POSCAR:
```
NaRuC
1.0
3.897 0.000 0.000
0.000 3.897 0.000
0.000 0.000 5.600
Na Ru C
2 2 2
Cartesian
0.974 0.974 0.555
2.922 2.922 5.045
0.974 2.922 2.800
2.922 0.974 2.800
0.974 0.974 3.539
2.922 2.922 2.061
```

Values from the calculation:
Formation energy from the elements, meV per atom: 371
Calculated total energy, eV per cell: -37.4
Distance to the lowest polymorph of the same formula, meV/atom: 64.0

DFT (PBE) results for Er3Ga2Ir after structural relaxation.

Cell and atoms, written as POSCAR:
```
Er3Ga2Ir
1.0
11.772 0.000 0.000
0.000 4.289 0.000
0.000 0.000 10.958
Er Ga Ir
12 8 4
Cartesian
0.591 1.072 1.361
1.381 3.217 6.122
2.726 1.072 8.779
3.160 3.217 3.300
4.505 1.072 0.643
5.295 3.217 6.840
6.477 1.072 4.118
7.267 3.217 10.316
8.612 1.072 7.658
9.046 3.217 2.179
10.391 1.072 4.836
11.181 3.217 9.598
0.083 3.217 3.312
2.256 3.217 0.063
3.630 1.072 5.542
5.803 1.072 8.791
5.969 3.217 2.167
8.143 3.217 5.416
9.516 1.072 10.895
11.689 1.072 7.647
1.437 1.072 4.133
4.449 3.217 9.612
7.324 1.072 1.346
10.335 3.217 6.825
```

Values from the calculation:
Formation energy from the elements, meV per atom: -696
Calculated total energy, eV per cell: -131.1

DFT (PBE) results for Ce2Cd after structural relaxation.

Cell and atoms, written as POSCAR:
```
Ce2Cd
1.0
3.278 0.000 0.000
0.000 4.667 0.000
0.000 0.000 10.246
Ce Cd
4 2
Cartesian
0.000 0.000 0.000
0.000 0.000 3.371
0.000 0.000 6.875
1.639 2.333 5.123
1.639 2.333 1.659
1.639 2.333 8.587
```

Values from the calculation:
Formation energy from the elements, meV per atom: -62
Calculated total energy, eV per cell: -25.9